KBaSi2 | GGA-PBE | relaxed

Values from the calculation:
Energy above the most stable polymorph in this dataset   0.251 eV per formula unit
ΔE_f (raw)   -0.12 eV per atom

Unit cell a=4.076 b=4.076 c=9.945 alpha=101.99 beta=101.99 gamma=60.03
Fractional coordinates of all 4 atoms:
K: 0.000 0.000 0.000
Ba: 0.816 0.816 0.453
Si: 0.249 0.249 0.751
Si: 0.558 0.558 0.679

---

PrAs2PtO8 | GGA-PBE | relaxed

Values from the calculation:
ΔE_f (raw)   -1.35 eV per atom

Unit cell a=5.482 b=5.482 c=7.043 alpha=90.00 beta=90.00 gamma=120.00
Fractional coordinates of all 12 atoms:
Pr: 0.000 0.000 0.000
As: 0.333 0.667 0.227
As: 0.667 0.333 0.773
Pt: 0.000 0.000 0.500
O: 0.157 0.314 0.290
O: 0.157 0.843 0.290
O: 0.314 0.157 0.710
O: 0.333 0.667 0.986
O: 0.667 0.333 0.014
O: 0.686 0.843 0.290
O: 0.843 0.157 0.710
O: 0.843 0.686 0.710

---

ZrPb2Se | GGA-PBE | relaxed

Values from the calculation:
ΔE_f (raw)   -0.32 eV per atom

Unit cell a=6.102 b=6.102 c=5.429 alpha=106.46 beta=106.46 gamma=32.72
Fractional coordinates of all 4 atoms:
Zr: 0.000 0.000 0.000
Pb: 0.548 0.548 0.520
Pb: 0.752 0.752 0.143
Se: 0.334 0.334 0.723

---

Rb4Th3ScS8 | GGA-PBE | relaxed

Values from the calculation:
ΔE_f (raw)   -1.66 eV per atom

Unit cell a=9.104 b=9.104 c=9.104 alpha=53.16 beta=53.16 gamma=53.16
Fractional coordinates of all 16 atoms:
Rb: 0.000 0.000 0.000
Rb: 0.000 0.500 0.500
Rb: 0.500 0.000 0.500
Rb: 0.500 0.500 0.000
Th: 0.000 0.000 0.500
Th: 0.000 0.500 0.000
Th: 0.500 0.000 0.000
Sc: 0.500 0.500 0.500
S: 0.236 0.236 0.236
S: 0.246 0.725 0.725
S: 0.275 0.275 0.754
S: 0.275 0.754 0.275
S: 0.725 0.246 0.725
S: 0.725 0.725 0.246
S: 0.754 0.275 0.275
S: 0.764 0.764 0.764

---

Co2CuOs | GGA-PBE | relaxed

Values from the calculation:
Energy of formation from the pure elements   1.227 eV/f.u.
Energy above the most stable polymorph in this dataset   0.600 eV per formula unit

Unit cell a=5.003 b=5.003 c=5.003 alpha=149.46 beta=128.76 gamma=60.83
Fractional coordinates of all 4 atoms:
Co: 0.000 0.000 0.000
Co: 0.768 0.268 0.500
Cu: 0.249 0.749 0.500
Os: 0.516 0.516 0.000

---

DyYAlZn | GGA-PBE | relaxed

Values from the calculation:
Energy of formation from the pure elements   -1.551 eV/f.u.

Unit cell a=5.086 b=5.086 c=5.086 alpha=60.00 beta=60.00 gamma=60.00
Fractional coordinates of all 4 atoms:
Dy: 0.000 0.000 0.000
Y: 0.500 0.500 0.500
Al: 0.250 0.250 0.250
Zn: 0.750 0.750 0.750

---

Number 1: final energy -14.34 eV/cell. Number 2: final energy -75.95 eV/cell. Number 3: final energy -20.73 eV/cell. Number 4: final energy -91.99 eV/cell. Number 5: final energy -28.31 eV/cell. Number 6: final energy -17.63 eV/cell.